The following is a DFT calculation (GGA-PBE) of a relaxed CaDyEr crystal.

Geometry as CIF:
```
data_CaDyEr
_chemical_formula_sum 'Ca1 Dy1 Er1'
_cell_length_a 3.5933
_cell_length_b 3.5933
_cell_length_c 9.0699
_cell_angle_alpha 90.00
_cell_angle_beta 90.00
_cell_angle_gamma 120.00
_space_group_name_H-M_alt 'P 3 m 1'
_space_group_IT_number 156
loop_
_space_group_symop_operation_xyz
'x,y,z'
'-y,x-y,z'
'-x+y,-x,z'
'-y,-x,z'
'-x+y,y,z'
'x,x-y,z'
loop_
_atom_site_label
_atom_site_fract_x
_atom_site_fract_y
_atom_site_fract_z
Ca1 0.0000 0.0000 0.0000
Dy1 0.3333 0.6667 0.6494
Er1 0.6667 0.3333 0.3470
```

Output
**E**: -3.639 eV per atom
**E above lowest polymorph**: 0.009 eV/atom
**Formation energy from the elements**: 8 kJ per mole of atoms